First-principles (GGA-PBE) data for CsRbBaAg2 after structural relaxation, as listed in the Alexandria database.

Properties
DFT total energy ... -1.369 eV/atom
ΔE_f ... 0.52 eV/atom
M_tot ... 0.00 μB/f.u.
Symmetry ... P4/mmm, No. 123
Density of states at the Fermi level ... 1.12 states/eV/atom

Cell and atoms, written as CIF:
```
data_CsRbBaAg2
_cell_length_a 6.512
_cell_length_b 6.606
_cell_length_c 6.512
_cell_angle_alpha 90.00
_cell_angle_beta 90.00
_cell_angle_gamma 90.00
_space_group_name_H-M_alt 'P 1'
_space_group_IT_number 1
_space_group_name_Hall 'P 1'
loop_
_atom_site_label
_atom_site_fract_x
_atom_site_fract_y
_atom_site_fract_z
_atom_site_occupancy
Cs1 0.000 0.000 0.000 1
Rb1 0.000 0.500 0.000 1
Ba1 0.500 0.500 0.500 1
Ag1 0.000 0.000 0.500 1
Ag2 0.500 0.000 0.000 1
```

---

First-principles (GGA-PBE) data for CsBaAgRh2 after structural relaxation, as listed in the Alexandria database.

Properties
DFT total energy ... -2.827 eV/atom
ΔE_f ... 1.24 eV/atom
M_tot ... 0.00 μB/f.u.
Symmetry ... P4/mmm, No. 123
Density of states at the Fermi level ... 0.91 states/eV/atom

Cell and atoms, written as CIF:
```
data_CsBaAgRh2
_cell_length_a 5.234
_cell_length_b 6.688
_cell_length_c 5.234
_cell_angle_alpha 90.00
_cell_angle_beta 90.00
_cell_angle_gamma 90.00
_space_group_name_H-M_alt 'P 1'
_space_group_IT_number 1
_space_group_name_Hall 'P 1'
loop_
_atom_site_label
_atom_site_fract_x
_atom_site_fract_y
_atom_site_fract_z
_atom_site_occupancy
Cs1 0.000 0.500 0.000 1
Rh1 0.000 0.000 0.500 1
Rh2 0.500 0.000 0.000 1
Ba1 0.000 0.000 0.000 1
Ag1 0.500 0.500 0.500 1
```